1.
Here is a geometry-optimized RbIr2Pd structure from the Alexandria database. Energies are from PBE-GGA.

Summary:
volume: 25.14 Å³ per atom
calculated density: 9.5 Mg/m³
DOS(E_F): 5.40 states/eV/cell
SG: No. 122

Lattice parameters (Å, degrees): 4.607 4.607 10.022 76.71 76.71 90.00
Positions (direct):
Pd1 0.000 0.000 0.000
Pd2 0.750 0.250 0.500
Rb1 0.250 0.750 0.500
Rb2 0.500 0.500 0.000
Ir1 0.958 0.125 0.250
Ir2 0.792 0.625 0.250
Ir3 0.875 0.208 0.750
Ir4 0.375 0.042 0.750

2.
Here is a geometry-optimized RbIr2Pd structure from the Alexandria database. Energies are from PBE-GGA.

Summary:
volume: 18.72 Å³ per atom
calculated density: 12.8 Mg/m³
DOS(E_F): 9.83 states/eV/cell
SG: No. 225

Lattice parameters (Å, degrees): 4.731 4.731 4.731 60.00 60.00 60.00
Each line ends with the local moment (μB).
Positions (direct):
Ir1 0.750 0.750 0.750  1.11
Ir2 0.250 0.250 0.250  1.11
Rb1 0.000 0.000 0.000  0.03
Pd1 0.500 0.500 0.500  0.45

The most stable arrangement is 1, and the next structure is 0.630 eV/atom less stable.